The following is a DFT calculation (PBE) of a relaxed LiBPdPt2 crystal.

CIF file:
```
data_LiBPdPt2
_chemical_formula_sum 'Li1 B1 Pd1 Pt2'
_cell_length_a 4.140
_cell_length_b 4.140
_cell_length_c 4.222
_cell_angle_alpha 90.00
_cell_angle_beta 90.00
_cell_angle_gamma 90.00
_space_group_name_H-M_alt 'P 1'
_space_group_IT_number 1
loop_
_space_group_symop_operation_xyz
'x,y,z'
loop_
_atom_site_label
_atom_site_fract_x
_atom_site_fract_y
_atom_site_fract_z
Li1 0.000 0.000 0.000
B1 0.500 0.500 0.500
Pd1 0.500 0.500 0.000
Pt1 0.000 0.500 0.500
Pt2 0.500 0.000 0.500
```

Energy: -27.942 eV/cell



The following is a DFT calculation (PBE) of a relaxed Mg2NpBr8 crystal.

CIF file:
```
data_Mg2NpBr8
_chemical_formula_sum 'Mg2 Np1 Br8'
_cell_length_a 9.260
_cell_length_b 9.260
_cell_length_c 6.837
_cell_angle_alpha 93.52
_cell_angle_beta 93.52
_cell_angle_gamma 49.15
_space_group_name_H-M_alt 'P 1'
_space_group_IT_number 1
loop_
_space_group_symop_operation_xyz
'x,y,z'
loop_
_atom_site_label
_atom_site_fract_x
_atom_site_fract_y
_atom_site_fract_z
Mg1 0.159 0.159 0.434
Mg2 0.841 0.841 0.566
Np1 0.000 0.000 0.000
Br1 0.141 0.141 0.805
Br2 0.173 0.687 0.740
Br3 0.297 0.297 0.363
Br4 0.313 0.827 0.260
Br5 0.687 0.173 0.740
Br6 0.703 0.703 0.637
Br7 0.827 0.313 0.260
Br8 0.859 0.859 0.195
```

Formation energy (no corrections): -13.87 eV/f.u.



The following is a DFT calculation (PBE) of a relaxed AcSm3Dy6Er2 crystal.

CIF file:
```
data_AcSm3Dy6Er2
_chemical_formula_sum 'Ac1 Sm3 Dy6 Er2'
_cell_length_a 6.223
_cell_length_b 6.223
_cell_length_c 11.905
_cell_angle_alpha 94.98
_cell_angle_beta 94.98
_cell_angle_gamma 119.98
_space_group_name_H-M_alt 'P 1'
_space_group_IT_number 1
loop_
_space_group_symop_operation_xyz
'x,y,z'
loop_
_atom_site_label
_atom_site_fract_x
_atom_site_fract_y
_atom_site_fract_z
Ac1 0.000 0.000 0.000
Sm1 0.167 0.833 0.500
Sm2 0.500 0.500 0.500
Sm3 0.833 0.167 0.500
Dy1 0.084 0.421 0.252
Dy2 0.252 0.252 0.748
Dy3 0.421 0.084 0.252
Dy4 0.579 0.916 0.748
Dy5 0.748 0.748 0.252
Dy6 0.916 0.579 0.748
Er1 0.333 0.667 0.000
Er2 0.667 0.333 0.000
```

Energy: -54.662 eV/cell



The following is a DFT calculation (PBE) of a relaxed Pd2Se4Cl crystal.

CIF file:
```
data_Pd2Se4Cl
_chemical_formula_sum 'Pd4 Se8 Cl2'
_cell_length_a 7.183
_cell_length_b 7.317
_cell_length_c 8.036
_cell_angle_alpha 62.92
_cell_angle_beta 65.85
_cell_angle_gamma 89.92
_space_group_name_H-M_alt 'P 1'
_space_group_IT_number 1
loop_
_space_group_symop_operation_xyz
'x,y,z'
loop_
_atom_site_label
_atom_site_fract_x
_atom_site_fract_y
_atom_site_fract_z
Pd1 0.000 0.000 0.000
Pd2 0.000 0.000 0.500
Pd3 0.000 0.500 0.000
Pd4 0.500 0.000 0.500
Se1 0.196 0.204 0.091
Se2 0.212 0.183 0.595
Se3 0.212 0.722 0.595
Se4 0.263 0.780 0.939
Se5 0.737 0.220 0.061
Se6 0.788 0.278 0.405
Se7 0.788 0.817 0.405
Se8 0.804 0.796 0.909
Cl1 0.285 0.623 0.251
Cl2 0.715 0.377 0.749
```

Formation energy (no corrections): -1.41 eV/f.u.



The following is a DFT calculation (PBE) of a relaxed MnNi2HW crystal.

CIF file:
```
data_MnNi2HW
_chemical_formula_sum 'Mn1 Ni2 H1 W1'
_cell_length_a 3.586
_cell_length_b 3.586
_cell_length_c 3.997
_cell_angle_alpha 90.00
_cell_angle_beta 90.00
_cell_angle_gamma 90.00
_space_group_name_H-M_alt 'P 1'
_space_group_IT_number 1
loop_
_space_group_symop_operation_xyz
'x,y,z'
loop_
_atom_site_label
_atom_site_fract_x
_atom_site_fract_y
_atom_site_fract_z
Mn1 0.000 0.000 0.000
Ni1 0.000 0.500 0.500
Ni2 0.500 0.000 0.500
H1 0.500 0.500 0.500
W1 0.500 0.500 0.000
```

Energy above the lowest structure with this stoichiometry: 51 meV per atom



The following is a DFT calculation (PBE) of a relaxed NpGa6Cu12 crystal.

CIF file:
```
data_NpGa6Cu12
_chemical_formula_sum 'Np1 Ga6 Cu12'
_cell_length_a 6.826
_cell_length_b 6.826
_cell_length_c 6.826
_cell_angle_alpha 103.91
_cell_angle_beta 103.91
_cell_angle_gamma 103.91
_space_group_name_H-M_alt 'P 1'
_space_group_IT_number 1
loop_
_space_group_symop_operation_xyz
'x,y,z'
loop_
_atom_site_label
_atom_site_fract_x
_atom_site_fract_y
_atom_site_fract_z
Np1 0.000 0.000 0.000
Ga1 0.278 0.278 0.704
Ga2 0.278 0.704 0.278
Ga3 0.296 0.722 0.722
Ga4 0.704 0.278 0.278
Ga5 0.722 0.296 0.722
Ga6 0.722 0.722 0.296
Cu1 0.111 0.500 0.889
Cu2 0.111 0.889 0.500
Cu3 0.131 0.380 0.380
Cu4 0.380 0.131 0.380
Cu5 0.380 0.380 0.131
Cu6 0.500 0.111 0.889
Cu7 0.500 0.889 0.111
Cu8 0.620 0.620 0.869
Cu9 0.620 0.869 0.620
Cu10 0.869 0.620 0.620
Cu11 0.889 0.111 0.500
Cu12 0.889 0.500 0.111
```

Energy: -79.387 eV/cell